(1)
The following is a PBE calculation of crystalline La2ZrTa at its relaxed geometry, from Alexandria via LeMat-Bulk.

Unit cell a=3.3284 b=3.3284 c=33.0169 alpha=90.00 beta=90.00 gamma=120.00
Space group R-3m (No. 166, hexagonal axes)
Asymmetric unit:
1 La 0.0000 0.0000 0.2467
2 Zr 0.0000 0.0000 0.0000
3 Ta 0.0000 0.0000 0.5000

Calculated values
Relative energy among the computed polymorphs   268 meV/atom

=====

(2)
The following is a PBE calculation of crystalline LaZrTa at its relaxed geometry, from Alexandria via LeMat-Bulk.

Unit cell a=6.8792 b=6.8792 c=6.8792 alpha=90.00 beta=90.00 gamma=90.00
Space group F-43m (No. 216)
Asymmetric unit:
1 La 0.0000 0.0000 0.0000
2 Zr 0.0000 0.0000 0.5000
3 Ta 0.2500 0.2500 0.7500

Calculated values
Relative energy among the computed polymorphs   451 meV/atom

=====

(3)
The following is a PBE calculation of crystalline LaZr2Ta at its relaxed geometry, from Alexandria via LeMat-Bulk.

Unit cell a=3.6795 b=5.0434 c=10.1666 alpha=90.00 beta=90.00 gamma=90.00
Space group Imm2 (No. 44)
Asymmetric unit:
1 La 0.0000 0.0000 0.0000
2 Zr 0.0000 0.0000 0.4721
3 Zr 0.0000 0.5000 0.2405
4 Ta 0.0000 0.5000 0.7534

Calculated values
Electronic total energy   -65.067 eV/cell

=====

(4)
The following is a PBE calculation of crystalline LaZr2Ta at its relaxed geometry, from Alexandria via LeMat-Bulk.

Unit cell a=3.1738 b=4.9040 c=6.3070 alpha=90.00 beta=102.78 gamma=90.00
Space group P2/m (No. 10)
Asymmetric unit:
1 La 0.0000 0.0000 0.0000
2 Zr 0.2976 0.5000 0.7163
3 Ta 0.5000 0.0000 0.5000

Calculated values
Electronic total energy   -32.780 eV/cell

=====

(5)
The following is a PBE calculation of crystalline La2ZrTa at its relaxed geometry, from Alexandria via LeMat-Bulk.

Unit cell a=3.7865 b=5.3635 c=10.7277 alpha=90.00 beta=90.00 gamma=90.00
Space group Imm2 (No. 44)
Asymmetric unit:
1 La 0.0000 0.0000 0.0000
2 La 0.0000 0.5000 0.2309
3 Zr 0.0000 0.0000 0.4538
4 Ta 0.0000 0.5000 0.7607

Calculated values
Relative energy among the computed polymorphs   147 meV/atom

=====

(6)
The following is a PBE calculation of crystalline LaZr2Ta at its relaxed geometry, from Alexandria via LeMat-Bulk.

Unit cell a=3.1687 b=4.8642 c=6.4467 alpha=90.00 beta=100.54 gamma=90.00
Space group Pm (No. 6)
Asymmetric unit:
1 La 0.0000 0.0000 0.0000
2 Zr 0.4190 0.5000 0.6819
3 Zr 0.8835 0.0000 0.4864
4 Ta 0.5567 0.5000 0.2535

Calculated values
Electronic total energy   -32.657 eV/cell

=====

(7)
The following is a PBE calculation of crystalline LaZrTa at its relaxed geometry, from Alexandria via LeMat-Bulk.

Unit cell a=6.8224 b=6.8224 c=6.8224 alpha=90.00 beta=90.00 gamma=90.00
Space group F-43m (No. 216)
Asymmetric unit:
1 La 0.0000 0.0000 0.0000
2 Zr 0.2500 0.2500 0.7500
3 Ta 0.2500 0.2500 0.2500

Calculated values
Relative energy among the computed polymorphs   1112 meV/atom

=====

(8)
The following is a PBE calculation of crystalline La2ZrTa at its relaxed geometry, from Alexandria via LeMat-Bulk.

Unit cell a=3.2814 b=4.9665 c=6.8187 alpha=90.00 beta=103.08 gamma=90.00
Space group Pm (No. 6)
Asymmetric unit:
1 La 0.0000 0.0000 0.0000
2 La 0.3179 0.5000 0.6823
3 Zr 0.5886 0.0000 0.4318
4 Ta 0.7373 0.5000 0.2466

Calculated values
Relative energy among the computed polymorphs   110 meV/atom

=====

(9)
The following is a PBE calculation of crystalline La2ZrTa at its relaxed geometry, from Alexandria via LeMat-Bulk.

Unit cell a=11.0612 b=3.2289 c=6.0499 alpha=90.00 beta=99.81 gamma=90.00
Space group Cm (No. 8)
Asymmetric unit:
1 La 0.0000 0.0000 0.0000
2 La 0.2292 0.0000 0.7649
3 Zr 0.4694 0.0000 0.4586
4 Ta 0.2426 0.5000 0.2890

Calculated values
Relative energy among the computed polymorphs   145 meV/atom

=====

(10)
The following is a PBE calculation of crystalline LaZr2Ta at its relaxed geometry, from Alexandria via LeMat-Bulk.

Unit cell a=7.2219 b=7.2219 c=7.2219 alpha=90.00 beta=90.00 gamma=90.00
Space group F-43m (No. 216)
Asymmetric unit:
1 La 0.0000 0.0000 0.0000
2 Zr 0.0000 0.0000 0.5000
3 Zr 0.2500 0.2500 0.7500
4 Ta 0.2500 0.2500 0.2500

Calculated values
Electronic total energy   -129.206 eV/cell

=====

(11)
The following is a PBE calculation of crystalline La2ZrTa at its relaxed geometry, from Alexandria via LeMat-Bulk.

Unit cell a=7.4938 b=7.4938 c=7.4938 alpha=90.00 beta=90.00 gamma=90.00
Space group Fm-3m (No. 225)
Asymmetric unit:
1 La 0.2500 0.2500 0.2500
2 Zr 0.0000 0.0000 0.0000
3 Ta 0.0000 0.0000 0.5000

Calculated values
Relative energy among the computed polymorphs   300 meV/atom

=====

(12)
The following is a PBE calculation of crystalline La2ZrTa at its relaxed geometry, from Alexandria via LeMat-Bulk.

Unit cell a=3.3227 b=3.3227 c=32.8101 alpha=90.00 beta=90.00 gamma=120.00
Space group R3m (No. 160, hexagonal axes)
Asymmetric unit:
1 La 0.0000 0.0000 0.0000
2 La 0.0000 0.0000 0.2392
3 Zr 0.0000 0.0000 0.7545
4 Ta 0.0000 0.0000 0.4917

Calculated values
Relative energy among the computed polymorphs   133 meV/atom

=====

(13)
The following is a PBE calculation of crystalline La2ZrTa2 at its relaxed geometry, from Alexandria via LeMat-Bulk.

Unit cell a=4.7656 b=4.7656 c=11.1707 alpha=90.00 beta=90.00 gamma=90.00
Space group I4/mmm (No. 139)
Asymmetric unit:
1 La 0.0000 0.0000 0.1252
2 Zr 0.0000 0.0000 0.5000
3 Ta 0.0000 0.5000 0.2500

Calculated values
Electronic total energy   -72.233 eV/cell

=====

(14)
The following is a PBE calculation of crystalline LaZr2Ta at its relaxed geometry, from Alexandria via LeMat-Bulk.

Unit cell a=3.2210 b=3.2210 c=32.0312 alpha=90.00 beta=90.00 gamma=120.00
Space group R-3m (No. 166, hexagonal axes)
Asymmetric unit:
1 La 0.0000 0.0000 0.0000
2 Zr 0.0000 0.0000 0.2412
3 Ta 0.0000 0.0000 0.5000

Calculated values
Electronic total energy   -98.259 eV/cell

=====

(15)
The following is a PBE calculation of crystalline La2ZrTa at its relaxed geometry, from Alexandria via LeMat-Bulk.

Unit cell a=4.9142 b=4.9142 c=8.6855 alpha=90.00 beta=90.00 gamma=90.00
Space group I-4m2 (No. 119)
Asymmetric unit:
1 La 0.0000 0.0000 0.0000
2 La 0.0000 0.5000 0.2500
3 Zr 0.0000 0.0000 0.5000
4 Ta 0.0000 0.5000 0.7500

Calculated values
Relative energy among the computed polymorphs   197 meV/atom

=====

(16)
The following is a PBE calculation of crystalline LaZr2Ta at its relaxed geometry, from Alexandria via LeMat-Bulk.

Unit cell a=3.6850 b=5.1077 c=10.0678 alpha=90.00 beta=90.00 gamma=90.00
Space group Immm (No. 71)
Asymmetric unit:
1 La 0.0000 0.0000 0.0000
2 Zr 0.0000 0.5000 0.2328
3 Ta 0.0000 0.0000 0.5000

Calculated values
Electronic total energy   -64.991 eV/cell

=====

(17)
The following is a PBE calculation of crystalline LaZr2Ta at its relaxed geometry, from Alexandria via LeMat-Bulk.

Unit cell a=3.1169 b=4.8032 c=6.4139 alpha=90.00 beta=90.00 gamma=90.00
Space group Pmm2 (No. 25)
Asymmetric unit:
1 La 0.0000 0.0000 0.0000
2 Zr 0.0000 0.0000 0.4777
3 Zr 0.5000 0.5000 0.7163
4 Ta 0.5000 0.5000 0.2694

Calculated values
Electronic total energy   -32.625 eV/cell

=====

(18)
The following is a PBE calculation of crystalline La2ZrTa at its relaxed geometry, from Alexandria via LeMat-Bulk.

Unit cell a=3.5750 b=5.3272 c=11.1956 alpha=90.00 beta=90.00 gamma=90.00
Space group Cmm2 (No. 35)
Asymmetric unit:
1 La 0.0000 0.0000 0.0000
2 La 0.0000 0.5000 0.3142
3 Zr 0.0000 0.5000 0.7409
4 Ta 0.0000 0.0000 0.5435

Calculated values
Relative energy among the computed polymorphs   87 meV/atom

=====

(19)
The following is a PBE calculation of crystalline LaZr2Ta at its relaxed geometry, from Alexandria via LeMat-Bulk.

Unit cell a=4.5909 b=4.5909 c=9.0481 alpha=90.00 beta=90.00 gamma=90.00
Space group I-4m2 (No. 119)
Asymmetric unit:
1 La 0.0000 0.0000 0.0000
2 Zr 0.0000 0.0000 0.5000
3 Zr 0.0000 0.5000 0.2500
4 Ta 0.0000 0.5000 0.7500

Calculated values
Electronic total energy   -64.761 eV/cell

=====

(20)
The following is a PBE calculation of crystalline La3ZrTa at its relaxed geometry, from Alexandria via LeMat-Bulk.

Unit cell a=5.5937 b=5.5937 c=5.5937 alpha=90.00 beta=90.00 gamma=90.00
Space group Pm-3m (No. 221)
Asymmetric unit:
1 La 0.0000 0.0000 0.5000
2 Zr 0.5000 0.5000 0.5000
3 Ta 0.0000 0.0000 0.0000

Calculated values
Relative energy among the computed polymorphs   0 meV/atom

=====

no.,total magnetic moment (μB per atom)
1,0.00
2,0.00
3,0.00
4,0.00
5,0.00
6,0.00
7,0.00
8,0.00
9,0.00
10,0.14
11,0.00
12,0.00
13,0.00
14,0.00
15,0.00
16,0.00
17,0.00
18,0.00
19,0.00
20,0.00